A relaxed structure of Y2Al2Hg. Source: Alexandria, functional PBE.

E_form in eV per atom: -0.191
SG: No. 127
Distance to the lowest polymorph of the same formula in eV/atom: 0.275
Final energy in eV/cell: -43.345

a b c (Å): 8.594 8.594 3.530
angles (deg): 90.00 90.00 90.00
Element x y z (fractional)
Y (0.185, 0.315, 0.000)
Y (0.315, 0.815, 0.000)
Y (0.685, 0.185, 0.000)
Y (0.815, 0.685, 0.000)
Al (0.108, 0.608, 0.500)
Al (0.392, 0.108, 0.500)
Al (0.608, 0.892, 0.500)
Al (0.892, 0.392, 0.500)
Hg (0.000, 0.000, 0.000)
Hg (0.500, 0.500, 0.000)